1.
First-principles (GGA-PBE) data for an optimized crystal structure of Ca2La2Rh3, as listed in Alexandria.

POSCAR file:
```
Ca2La2Rh3
1.0
8.601 0.000 0.000
0.000 4.956 0.000
-2.864 0.000 8.114
Ca La Rh
4 4 6
direct
0.128 0.000 0.385 Ca
0.372 0.500 0.615 Ca
0.628 0.500 0.385 Ca
0.872 0.000 0.615 Ca
0.121 0.500 0.862 La
0.379 0.000 0.138 La
0.621 0.000 0.862 La
0.879 0.500 0.138 La
0.000 0.000 0.000 Rh
0.243 0.500 0.231 Rh
0.257 0.000 0.769 Rh
0.500 0.500 0.000 Rh
0.743 0.000 0.231 Rh
0.757 0.500 0.769 Rh
```

Computed properties:
SG: No. 12
ΔE_f: -548 meV per atom
Fermi-level density of states: 0.468 states/eV per atom
E: -5.68 eV/atom

2.
First-principles (GGA-PBE) data for an optimized crystal structure of Rb2LaCu2Se4, as listed in Alexandria.

POSCAR file:
```
Rb2LaCu2Se4
1.0
7.871 -2.101 0.000
7.871 2.101 0.000
-2.788 0.000 7.785
Rb La Cu Se
2 1 2 4
direct
0.132 0.132 0.060 Rb
0.868 0.868 0.940 Rb
0.000 0.000 0.500 La
0.321 0.321 0.515 Cu
0.679 0.679 0.485 Cu
0.206 0.206 0.661 Se
0.475 0.475 0.736 Se
0.525 0.525 0.264 Se
0.794 0.794 0.339 Se
```

Computed properties:
SG: No. 12
Uncorrected formation energy: -1.073 eV/atom
Fermi-level density of states: 0.764 states/eV per atom
E: -4.29 eV/atom

3.
First-principles (GGA-PBE) data for an optimized crystal structure of Cu5Sb, as listed in Alexandria.

POSCAR file:
```
Cu5Sb
1.0
3.837 0.000 0.000
0.000 11.379 0.000
0.000 0.000 3.800
Cu Sb
10 2
direct
0.000 0.000 0.000 Cu
0.000 0.172 0.500 Cu
0.000 0.324 0.000 Cu
0.000 0.676 0.000 Cu
0.000 0.828 0.500 Cu
0.500 0.176 0.000 Cu
0.500 0.328 0.500 Cu
0.500 0.500 0.000 Cu
0.500 0.672 0.500 Cu
0.500 0.824 0.000 Cu
0.000 0.500 0.500 Sb
0.500 0.000 0.500 Sb
```

Computed properties:
SG: No. 65
Uncorrected formation energy: 0.056 eV/atom
Fermi-level density of states: 0.303 states/eV per atom
E: -4.04 eV/atom

4.
First-principles (GGA-PBE) data for an optimized crystal structure of PrSbAu2, as listed in Alexandria.

POSCAR file:
```
PrSbAu2
1.0
4.714 0.000 0.000
-2.357 4.082 0.000
0.000 0.000 15.440
Pr Sb Au
3 3 6
direct
0.000 0.000 0.000 Pr
0.333 0.667 0.667 Pr
0.667 0.333 0.333 Pr
0.000 0.000 0.500 Sb
0.333 0.667 0.167 Sb
0.667 0.333 0.833 Sb
0.000 0.000 0.231 Au
0.000 0.000 0.769 Au
0.333 0.667 0.436 Au
0.333 0.667 0.898 Au
0.667 0.333 0.102 Au
0.667 0.333 0.564 Au
```

Computed properties:
SG: No. 166
Uncorrected formation energy: -0.606 eV/atom
Fermi-level density of states: 0.535 states/eV per atom
E: -4.47 eV/atom

5.
First-principles (GGA-PBE) data for an optimized crystal structure of Ba2CdP3Pd12, as listed in Alexandria.

POSCAR file:
```
Ba2CdP3Pd12
1.0
4.379 2.528 5.641
-4.379 2.528 5.641
0.000 -5.057 5.641
Ba Cd P Pd
2 1 3 12
direct
0.106 0.106 0.106 Ba
0.894 0.894 0.894 Ba
0.500 0.500 0.500 Cd
0.000 0.500 0.500 P
0.500 0.000 0.500 P
0.500 0.500 0.000 P
0.125 0.635 0.635 Pd
0.213 0.213 0.611 Pd
0.213 0.611 0.213 Pd
0.365 0.365 0.875 Pd
0.365 0.875 0.365 Pd
0.389 0.787 0.787 Pd
0.611 0.213 0.213 Pd
0.635 0.125 0.635 Pd
0.635 0.635 0.125 Pd
0.787 0.389 0.787 Pd
0.787 0.787 0.389 Pd
0.875 0.365 0.365 Pd
```

Computed properties:
SG: No. 166
ΔE_f: -327 meV per atom
Fermi-level density of states: 0.447 states/eV per atom
E: -4.95 eV/atom

6.
First-principles (GGA-PBE) data for an optimized crystal structure of Pr6HgN3, as listed in Alexandria.

POSCAR file:
```
Pr6HgN3
1.0
11.625 0.000 0.000
0.000 3.725 0.000
-3.521 0.000 11.948
Pr Hg N
12 2 6
direct
0.101 0.250 0.308 Pr
0.116 0.250 0.587 Pr
0.121 0.750 0.050 Pr
0.366 0.750 0.491 Pr
0.378 0.750 0.912 Pr
0.398 0.250 0.208 Pr
0.602 0.750 0.792 Pr
0.622 0.250 0.088 Pr
0.634 0.250 0.509 Pr
0.879 0.250 0.950 Pr
0.884 0.750 0.413 Pr
0.899 0.750 0.692 Pr
0.129 0.250 0.848 Hg
0.871 0.750 0.152 Hg
0.117 0.750 0.450 N
0.416 0.250 0.402 N
0.478 0.750 0.108 N
0.522 0.250 0.892 N
0.584 0.750 0.598 N
0.883 0.250 0.550 N
```

Computed properties:
SG: No. 11
Energy above the lowest structure with this stoichiometry: 0.000 eV per atom
Uncorrected formation energy: -0.732 eV/atom
Fermi-level density of states: 0.675 states/eV per atom
E: -6.13 eV/atom

Asked for mass density across the records above, the calculation gives 6.40 4.86 8.80 11.01 7.79 6.98 g/cm3 in order.